Record 1
Here is a relaxed Pr2YGa4 crystal from Alexandria via LeMat-Bulk. Energies are from PBE.

Formation enthalpy at 0 K, eV/f.u.: -4.3

Geometry as CIF:
```
data_Pr2YGa4
_chemical_formula_sum 'Pr4 Y2 Ga8'
_cell_length_a 4.2067
_cell_length_b 4.3446
_cell_length_c 18.8881
_cell_angle_alpha 90.00
_cell_angle_beta 90.00
_cell_angle_gamma 90.00
_symmetry_space_group_name_H-M 'I m m m'
_symmetry_Int_Tables_number 71
_symmetry_space_group_name_Hall '-I 2 2'
loop_
_atom_site_label
_atom_site_fract_x
_atom_site_fract_y
_atom_site_fract_z
_atom_site_occupancy
Pr1 0.0000 0.0000 0.1843 1
Y1 0.0000 0.5000 0.5000 1
Ga1 0.0000 0.0000 0.3609 1
Ga2 0.0000 0.5000 0.0644 1
```

***

Record 2
Here is a relaxed Pr4Y3Ga4 crystal from Alexandria via LeMat-Bulk. Energies are from PBE.

Formation enthalpy at 0 K, eV/f.u.: -4.6

Geometry as CIF:
```
data_Pr4Y3Ga4
_chemical_formula_sum 'Pr8 Y6 Ga8'
_cell_length_a 3.5757
_cell_length_b 9.1516
_cell_length_c 18.5911
_cell_angle_alpha 90.00
_cell_angle_beta 90.00
_cell_angle_gamma 90.00
_symmetry_space_group_name_H-M 'I m m m'
_symmetry_Int_Tables_number 71
_symmetry_space_group_name_Hall '-I 2 2'
loop_
_atom_site_label
_atom_site_fract_x
_atom_site_fract_y
_atom_site_fract_z
_atom_site_occupancy
Pr1 0.0000 0.1747 0.1663 1
Y1 0.0000 0.0000 0.4075 1
Y2 0.0000 0.5000 0.5000 1
Ga1 0.0000 0.2767 0.0000 1
Ga2 0.0000 0.5000 0.2208 1
```

***

Record 3
Here is a relaxed PrYGa crystal from Alexandria via LeMat-Bulk. Energies are from PBE.

Relative energy among the computed polymorphs, eV per atom: 0.060
Formation enthalpy at 0 K, eV/f.u.: -1.1

Geometry as CIF:
```
data_PrYGa
_chemical_formula_sum 'Pr2 Y2 Ga2'
_cell_length_a 3.5526
_cell_length_b 3.5526
_cell_length_c 13.4243
_cell_angle_alpha 90.00
_cell_angle_beta 90.00
_cell_angle_gamma 90.00
_symmetry_space_group_name_H-M 'I 4 m m'
_symmetry_Int_Tables_number 107
_symmetry_space_group_name_Hall 'I 4 -2'
loop_
_atom_site_label
_atom_site_fract_x
_atom_site_fract_y
_atom_site_fract_z
_atom_site_occupancy
Pr1 0.0000 0.0000 0.0000 1
Y1 0.0000 0.0000 0.2866 1
Ga1 0.0000 0.0000 0.6517 1
```

***

Record 4
Here is a relaxed PrYGa6 crystal from Alexandria via LeMat-Bulk. Energies are from PBE.

Formation enthalpy at 0 K, eV/f.u.: -4.4

Geometry as CIF:
```
data_PrYGa6
_chemical_formula_sum 'Pr1 Y1 Ga6'
_cell_length_a 6.3947
_cell_length_b 6.3947
_cell_length_c 4.6090
_cell_angle_alpha 90.00
_cell_angle_beta 90.00
_cell_angle_gamma 120.00
_symmetry_space_group_name_H-M 'P -6 m 2'
_symmetry_Int_Tables_number 187
_symmetry_space_group_name_Hall 'P -6 2'
loop_
_atom_site_label
_atom_site_fract_x
_atom_site_fract_y
_atom_site_fract_z
_atom_site_occupancy
Pr1 0.0000 0.0000 0.0000 1
Y1 0.6667 0.3333 0.5000 1
Ga1 0.0418 0.5209 0.0000 1
Ga2 0.1908 0.3817 0.5000 1
```

***

Record 5
Here is a relaxed Pr3Y4Ga4 crystal from Alexandria via LeMat-Bulk. Energies are from PBE.

Formation enthalpy at 0 K, eV/f.u.: -4.3

Geometry as CIF:
```
data_Pr3Y4Ga4
_chemical_formula_sum 'Pr6 Y8 Ga8'
_cell_length_a 4.9170
_cell_length_b 7.5702
_cell_length_c 16.4492
_cell_angle_alpha 90.00
_cell_angle_beta 90.00
_cell_angle_gamma 90.00
_symmetry_space_group_name_H-M 'I m m m'
_symmetry_Int_Tables_number 71
_symmetry_space_group_name_Hall '-I 2 2'
loop_
_atom_site_label
_atom_site_fract_x
_atom_site_fract_y
_atom_site_fract_z
_atom_site_occupancy
Pr1 0.0000 0.0000 0.0000 1
Pr2 0.0000 0.5000 0.1064 1
Y1 0.0000 0.2830 0.3265 1
Ga1 0.0000 0.0000 0.1966 1
Ga2 0.0000 0.1808 0.5000 1
```

***

Record 6
Here is a relaxed PrYGa4 crystal from Alexandria via LeMat-Bulk. Energies are from PBE.

Relative energy among the computed polymorphs, eV per atom: 0.010
Formation enthalpy at 0 K, eV/f.u.: -4.0

Geometry as CIF:
```
data_PrYGa4
_chemical_formula_sum 'Pr2 Y2 Ga8'
_cell_length_a 4.2398
_cell_length_b 4.2398
_cell_length_c 14.8240
_cell_angle_alpha 90.00
_cell_angle_beta 90.00
_cell_angle_gamma 90.00
_symmetry_space_group_name_H-M 'I -4 m 2'
_symmetry_Int_Tables_number 119
_symmetry_space_group_name_Hall 'I -4 -2'
loop_
_atom_site_label
_atom_site_fract_x
_atom_site_fract_y
_atom_site_fract_z
_atom_site_occupancy
Pr1 0.0000 0.0000 0.0000 1
Y1 0.0000 0.5000 0.7500 1
Ga1 0.0000 0.0000 0.4159 1
Ga2 0.0000 0.5000 0.1680 1
```

***

Record 7
Here is a relaxed Pr3YGa2 crystal from Alexandria via LeMat-Bulk. Energies are from PBE.

Relative energy among the computed polymorphs, eV per atom: 0.056
Formation enthalpy at 0 K, eV/f.u.: -2.0

Geometry as CIF:
```
data_Pr3YGa2
_chemical_formula_sum 'Pr12 Y4 Ga8'
_cell_length_a 17.6508
_cell_length_b 4.5900
_cell_length_c 9.4055
_cell_angle_alpha 90.00
_cell_angle_beta 113.58
_cell_angle_gamma 90.00
_symmetry_space_group_name_H-M 'C 1 2/m 1'
_symmetry_Int_Tables_number 12
_symmetry_space_group_name_Hall '-C 2y'
loop_
_atom_site_label
_atom_site_fract_x
_atom_site_fract_y
_atom_site_fract_z
_atom_site_occupancy
Pr1 0.0441 0.0000 0.1877 1
Pr2 0.1515 0.5000 0.9784 1
Pr3 0.1794 0.5000 0.4298 1
Y1 0.1160 0.0000 0.6380 1
Ga1 0.0061 0.5000 0.6418 1
Ga2 0.2353 0.0000 0.2177 1
```

***

Record 8
Here is a relaxed PrY3Ga crystal from Alexandria via LeMat-Bulk. Energies are from PBE.

Formation enthalpy at 0 K, eV/f.u.: -0.4

Geometry as CIF:
```
data_PrY3Ga
_chemical_formula_sum 'Pr4 Y12 Ga4'
_cell_length_a 11.9351
_cell_length_b 9.0520
_cell_length_c 7.7994
_cell_angle_alpha 90.00
_cell_angle_beta 130.07
_cell_angle_gamma 90.00
_symmetry_space_group_name_H-M 'C 1 2/m 1'
_symmetry_Int_Tables_number 12
_symmetry_space_group_name_Hall '-C 2y'
loop_
_atom_site_label
_atom_site_fract_x
_atom_site_fract_y
_atom_site_fract_z
_atom_site_occupancy
Pr1 0.0621 0.0000 0.3491 1
Y1 0.0573 0.5000 0.2776 1
Y2 0.2429 0.1924 0.2062 1
Ga1 0.2440 0.5000 0.1155 1
```

***

Record 9
Here is a relaxed PrYGa crystal from Alexandria via LeMat-Bulk. Energies are from PBE.

Relative energy among the computed polymorphs, eV per atom: 0.283
Formation enthalpy at 0 K, eV/f.u.: -0.4

Geometry as CIF:
```
data_PrYGa
_chemical_formula_sum 'Pr2 Y2 Ga2'
_cell_length_a 4.9543
_cell_length_b 4.9543
_cell_length_c 8.7917
_cell_angle_alpha 90.00
_cell_angle_beta 90.00
_cell_angle_gamma 120.00
_symmetry_space_group_name_H-M 'P -6 m 2'
_symmetry_Int_Tables_number 187
_symmetry_space_group_name_Hall 'P -6 2'
loop_
_atom_site_label
_atom_site_fract_x
_atom_site_fract_y
_atom_site_fract_z
_atom_site_occupancy
Pr1 0.0000 0.0000 0.2250 1
Y1 0.3333 0.6667 0.0000 1
Y2 0.6667 0.3333 0.5000 1
Ga1 0.3333 0.6667 0.3522 1
```

***

Record 10
Here is a relaxed PrY3Ga2 crystal from Alexandria via LeMat-Bulk. Energies are from PBE.

Relative energy among the computed polymorphs, eV per atom: 0.084
Formation enthalpy at 0 K, eV/f.u.: -2.1

Geometry as CIF:
```
data_PrY3Ga2
_chemical_formula_sum 'Pr4 Y12 Ga8'
_cell_length_a 16.6451
_cell_length_b 5.0368
_cell_length_c 8.8128
_cell_angle_alpha 90.00
_cell_angle_beta 115.38
_cell_angle_gamma 90.00
_symmetry_space_group_name_H-M 'C 1 2/m 1'
_symmetry_Int_Tables_number 12
_symmetry_space_group_name_Hall '-C 2y'
loop_
_atom_site_label
_atom_site_fract_x
_atom_site_fract_y
_atom_site_fract_z
_atom_site_occupancy
Pr1 0.1268 0.0000 0.1829 1
Y1 0.0594 0.0000 0.7157 1
Y2 0.1322 0.5000 0.4954 1
Y3 0.1877 0.5000 0.9740 1
Ga1 0.0039 0.5000 0.1470 1
Ga2 0.2256 0.0000 0.6458 1
```

***

Record 11
Here is a relaxed PrYGa4 crystal from Alexandria via LeMat-Bulk. Energies are from PBE.

Relative energy among the computed polymorphs, eV per atom: 0.120
Formation enthalpy at 0 K, eV/f.u.: -3.3

Geometry as CIF:
```
data_PrYGa4
_chemical_formula_sum 'Pr4 Y4 Ga16'
_cell_length_a 7.9178
_cell_length_b 7.9178
_cell_length_c 7.9178
_cell_angle_alpha 90.00
_cell_angle_beta 90.00
_cell_angle_gamma 90.00
_symmetry_space_group_name_H-M 'F -4 3 m'
_symmetry_Int_Tables_number 216
_symmetry_space_group_name_Hall 'F -4 2 3'
loop_
_atom_site_label
_atom_site_fract_x
_atom_site_fract_y
_atom_site_fract_z
_atom_site_occupancy
Pr1 0.0000 0.0000 0.0000 1
Y1 0.2500 0.2500 0.7500 1
Ga1 0.1249 0.1249 0.3751 1
```

***

Record 12
Here is a relaxed PrY3Ga2 crystal from Alexandria via LeMat-Bulk. Energies are from PBE.

Relative energy among the computed polymorphs, eV per atom: 0.000
Formation enthalpy at 0 K, eV/f.u.: -2.6

Geometry as CIF:
```
data_PrY3Ga2
_chemical_formula_sum 'Pr2 Y6 Ga4'
_cell_length_a 4.9917
_cell_length_b 9.6532
_cell_length_c 6.6687
_cell_angle_alpha 90.00
_cell_angle_beta 90.00
_cell_angle_gamma 90.00
_symmetry_space_group_name_H-M 'P m c 21'
_symmetry_Int_Tables_number 26
_symmetry_space_group_name_Hall 'P 2c -2'
loop_
_atom_site_label
_atom_site_fract_x
_atom_site_fract_y
_atom_site_fract_z
_atom_site_occupancy
Pr1 0.0000 0.0505 0.0000 1
Y1 0.0000 0.3254 0.6252 1
Y2 0.5000 0.1867 0.2899 1
Y3 0.5000 0.4450 0.9213 1
Ga1 0.0000 0.3639 0.1684 1
Ga2 0.5000 0.1423 0.7445 1
```

***

So what do the calculations give for calculated density? Going down the list: 6.2, 6.1, 5.9, 6.6, 5.7, 6.3, 6.2, 4.9, 5.3, 5.4, 6.8, 5.7 g cm⁻³.
So what do the calculations give for magnetic moment? Going down the list: 0.5, 0.0, 0.0, 0.0, 0.0, 0.0, 0.0, 0.0, 0.1, 0.0, 0.0, 0.0 μB per formula unit.